1.
First-principles (PBE) data for a geometry-optimized Tm4TePd structure, as listed in Alexandria via LeMat-Bulk.

Unit cell a=8.2279 b=3.8818 c=19.4114 alpha=90.00 beta=90.00 gamma=90.00
Closest atoms and distances in Å follow each position.
Space group Pnma (No. 62)
Inequivalent atoms, fractional coordinates:
1 Tm 0.0158 0.2500 0.0690 x4  2 Pd 2.89, 1 Te 3.18
2 Tm 0.0445 0.7500 0.2159 x4  4 Te 3.18-3.20, 6 Tm 3.46-3.51
3 Tm 0.1352 0.7500 0.6538 x4  2 Pd 2.88, 1 Te 3.18
4 Tm 0.1445 0.7500 0.4474 x4  3 Pd 2.89-3.06
5 Te 0.2439 0.2500 0.3143 x4  9 Tm 3.18-3.33
6 Pd 0.2272 0.2500 0.5517 x4  7 Tm 2.88-3.06

Output
V = 25.83 Å³ per atom
ΔE_f (raw) = -0.74 eV/atom
total magnetic moment = 0.00 Bohr magnetons per cell
total energy = -5.11 eV/atom

=====

2.
First-principles (PBE) data for a geometry-optimized RbBe2H2 structure, as listed in Alexandria via LeMat-Bulk.

Unit cell a=4.1068 b=6.3561 c=6.7194 alpha=108.15 beta=92.13 gamma=94.09
Closest atoms and distances in Å follow each position.
Space group P1 (No. 1)
Inequivalent atoms, fractional coordinates:
1 Rb 0.0000 0.0000 0.0000 x1  4 H 2.83-3.06
2 Rb 0.4459 0.3848 0.6118 x1  4 H 2.88-3.22
3 Be 0.1271 0.7828 0.4285 x1  3 H 1.48-1.55
4 Be 0.3433 0.5677 0.1604 x1  1 H 1.50
5 Be 0.6500 0.8105 0.4193 x1  3 H 1.47-1.56
6 Be 0.8252 0.5529 0.1485 x1  1 H 1.52
7 H 0.4138 0.9123 0.5731 x1  2 Be 1.47-1.51
8 H 0.5493 0.3762 0.1371 x1  2 Be 1.50-1.52
9 H 0.8844 0.7410 0.5723 x1  2 Be 1.48-1.56
10 H 0.9281 0.9779 0.4166 x1  2 Be 1.51-1.55

Output
V = 16.59 Å³ per atom
total magnetic moment = 0.00 Bohr magnetons per cell
total energy = -2.96 eV/atom

=====

3.
First-principles (PBE) data for a geometry-optimized LiInSn3 structure, as listed in Alexandria via LeMat-Bulk.

Unit cell a=6.3368 b=13.9510 c=5.9690 alpha=90.00 beta=90.00 gamma=90.00
Closest atoms and distances in Å follow each position.
Space group Cmcm (No. 63)
Inequivalent atoms, fractional coordinates:
1 Li 0.0000 0.1667 0.2500 x4  4 Sn 2.76-2.78
2 In 0.0000 0.4058 0.7500 x4  2 Li 3.33, 6 Sn 3.53-3.67
3 Sn 0.0000 0.0000 0.0000 x4  2 Li 2.76, 2 Sn 2.98
4 Sn 0.2488 0.3309 0.2500 x8  1 Li 2.78

Output
V = 26.38 Å³ per atom
total magnetic moment = 0.00 Bohr magnetons per cell
total energy = -3.33 eV/atom

=====

4.
First-principles (PBE) data for a geometry-optimized TbHf2Np structure, as listed in Alexandria via LeMat-Bulk.

Unit cell a=3.2358 b=3.2358 c=32.2372 alpha=90.00 beta=90.00 gamma=120.00
Closest atoms and distances in Å follow each position.
Space group R-3m (No. 166, hexagonal axes)
Inequivalent atoms, fractional coordinates:
1 Tb 0.0000 0.0000 0.0000 x3  6 Tb 3.24, 6 Hf 3.38
2 Hf 0.0000 0.0000 0.2460 x6  3 Np 3.17, 6 Hf 3.24, 3 Tb 3.38
3 Np 0.0000 0.0000 0.5000 x3  6 Hf 3.17, 6 Np 3.24

Output
V = 24.36 Å³ per atom
total magnetic moment = 10.85 Bohr magnetons per cell
total energy = -9.04 eV/atom

=====

5.
First-principles (PBE) data for a geometry-optimized ScIn2Si2 structure, as listed in Alexandria via LeMat-Bulk.

Unit cell a=4.0629 b=4.0629 c=13.3686 alpha=90.00 beta=90.00 gamma=90.00
Closest atoms and distances in Å follow each position.
Space group I4/mmm (No. 139)
Inequivalent atoms, fractional coordinates:
1 Sc 0.0000 0.0000 0.0000 x2  8 Si 3.09
2 In 0.0000 0.5000 0.2500 x4  4 In 2.87, 4 Si 2.99
3 Si 0.0000 0.0000 0.4144 x4  1 Si 2.29

Output
V = 22.07 Å³ per atom
ΔE_f (raw) = 0.13 eV/atom
total magnetic moment = 0.00 Bohr magnetons per cell
total energy = -4.40 eV/atom

=====

6.
First-principles (PBE) data for a geometry-optimized SrCaGeP2 structure, as listed in Alexandria via LeMat-Bulk.

Unit cell a=6.9723 b=5.1194 c=7.6485 alpha=90.00 beta=105.30 gamma=90.00
Closest atoms and distances in Å follow each position.
Space group P2/c (No. 13)
Inequivalent atoms, fractional coordinates:
1 Sr 0.0000 0.2019 0.2500 x2  6 P 3.06-3.26
2 Ca 0.5000 0.4751 0.7500 x2  4 P 2.90-2.91, 2 Ge 3.09
3 Ge 0.5000 0.0000 0.0000 x2  2 P 2.33
4 P 0.2237 0.2750 0.9447 x4  1 Ge 2.33

Output
V = 26.33 Å³ per atom
total magnetic moment = 0.00 Bohr magnetons per cell
total energy = -4.37 eV/atom

=====

7.
First-principles (PBE) data for a geometry-optimized TaCd3Pt structure, as listed in Alexandria via LeMat-Bulk.

Unit cell a=5.0997 b=5.0997 c=5.0997 alpha=90.00 beta=90.00 gamma=90.00
Closest atoms and distances in Å follow each position.
Space group Pm-3m (No. 221)
Inequivalent atoms, fractional coordinates:
1 Ta 0.0000 0.0000 0.0000 x1  12 Cd 3.61
2 Cd 0.0000 0.5000 0.5000 x3  2 Pt 2.55
3 Pt 0.5000 0.5000 0.5000 x1  6 Cd 2.55

Output
V = 26.53 Å³ per atom
total magnetic moment = 3.20 Bohr magnetons per cell
total energy = -3.13 eV/atom

=====

8.
First-principles (PBE) data for a geometry-optimized PaTcBiRu structure, as listed in Alexandria via LeMat-Bulk.

Unit cell a=6.8256 b=6.8256 c=6.8256 alpha=90.00 beta=90.00 gamma=90.00
Closest atoms and distances in Å follow each position.
Space group F-43m (No. 216)
Inequivalent atoms, fractional coordinates:
1 Pa 0.0000 0.0000 0.0000 x4  4 Ru 2.96, 4 Tc 2.96
2 Tc 0.2500 0.2500 0.2500 x4  4 Pa 2.96, 4 Bi 2.96
3 Bi 0.0000 0.0000 0.5000 x4  4 Tc 2.96, 4 Ru 2.96
4 Ru 0.2500 0.2500 0.7500 x4  4 Pa 2.96, 4 Bi 2.96

Output
V = 19.87 Å³ per atom
total magnetic moment = 0.00 Bohr magnetons per cell
total energy = -8.25 eV/atom

=====

9.
First-principles (PBE) data for a geometry-optimized SbPtW2 structure, as listed in Alexandria via LeMat-Bulk.

Unit cell a=4.0406 b=4.0406 c=8.3478 alpha=90.00 beta=90.00 gamma=90.00
Closest atoms and distances in Å follow each position.
Space group I4/mmm (No. 139)
Inequivalent atoms, fractional coordinates:
1 Sb 0.0000 0.0000 0.0000 x2  4 Pt 2.86, 8 W 2.90
2 Pt 0.0000 0.0000 0.5000 x2  4 Sb 2.86, 8 W 2.90
3 W 0.0000 0.5000 0.2500 x4  4 W 2.86, 4 Sb 2.90, 4 Pt 2.90

Output
V = 17.04 Å³ per atom
ΔE_f (raw) = 0.42 eV/atom
total magnetic moment = 0.00 Bohr magnetons per cell
total energy = -8.60 eV/atom

=====

10.
First-principles (PBE) data for a geometry-optimized CaDy2PbO6 structure, as listed in Alexandria via LeMat-Bulk.

Unit cell a=5.8102 b=5.8102 c=15.3301 alpha=90.00 beta=90.00 gamma=120.00
Closest atoms and distances in Å follow each position.
Space group R3 (No. 146, hexagonal axes)
Inequivalent atoms, fractional coordinates:
1 Ca 0.0000 0.0000 0.0000 x3  6 O 2.31-2.48
2 Dy 0.0000 0.0000 0.2808 x3  6 O 2.27-2.35
3 Dy 0.0000 0.0000 0.7810 x3  6 O 2.23-2.39
4 Pb 0.0000 0.0000 0.4913 x3  6 O 2.20-2.29
5 O 0.0132 0.7211 0.3889 x9  2 Dy 2.23-2.35, 1 Pb 2.29, 1 Ca 2.31
6 O 0.0349 0.3584 0.5530 x9  1 Pb 2.20, 2 Dy 2.27-2.39

Output
V = 14.94 Å³ per atom
ΔE_f (raw) = -2.64 eV/atom
total magnetic moment = 0.00 Bohr magnetons per cell
total energy = -7.11 eV/atom

=====

11.
First-principles (PBE) data for a geometry-optimized Ba4ScPb3O12 structure, as listed in Alexandria via LeMat-Bulk.

Unit cell a=8.6341 b=8.6341 c=8.6341 alpha=90.00 beta=90.00 gamma=90.00
Closest atoms and distances in Å follow each position.
Space group Im-3m (No. 229)
Inequivalent atoms, fractional coordinates:
1 Ba 0.2500 0.2500 0.2500 x8  12 O 3.05
2 Sc 0.0000 0.0000 0.0000 x2  6 O 2.13
3 Pb 0.0000 0.0000 0.5000 x6  6 O 2.16-2.19
4 O 0.0000 0.0000 0.2461 x12  1 Sc 2.13, 1 Pb 2.19
5 O 0.0000 0.2500 0.5000 x12  2 Pb 2.16

Output
V = 16.09 Å³ per atom
ΔE_f (raw) = -1.95 eV/atom
total magnetic moment = 1.75 Bohr magnetons per cell
total energy = -6.18 eV/atom

=====

12.
First-principles (PBE) data for a geometry-optimized MnMoPb2 structure, as listed in Alexandria via LeMat-Bulk.

Unit cell a=7.5405 b=7.5405 c=5.9009 alpha=90.00 beta=90.00 gamma=90.00
Closest atoms and distances in Å follow each position.
Space group I-42d (No. 122)
Inequivalent atoms, fractional coordinates:
1 Mn 0.0000 0.0000 0.0000 x4  4 Pb 2.65, 2 Mo 2.95
2 Mo 0.0000 0.0000 0.5000 x4  4 Pb 2.89, 2 Mn 2.95
3 Pb 0.2273 0.2500 0.1250 x8  2 Mn 2.65, 2 Mo 2.89, 2 Pb 2.97

Output
V = 20.97 Å³ per atom
total magnetic moment = 0.81 Bohr magnetons per cell
total energy = -5.55 eV/atom

=====

13.
First-principles (PBE) data for a geometry-optimized Ca2InSi structure, as listed in Alexandria via LeMat-Bulk.

Unit cell a=5.1538 b=5.1612 c=8.5558 alpha=90.00 beta=90.00 gamma=90.00
Closest atoms and distances in Å follow each position.
Space group Cmm2 (No. 35)
Inequivalent atoms, fractional coordinates:
1 Ca 0.0000 0.0000 0.0000 x2  4 Si 3.23, 1 In 3.26
2 Ca 0.0000 0.5000 0.3676 x2  4 In 3.35-3.36, 1 Si 3.47, 4 Ca 3.65
3 In 0.0000 0.0000 0.6185 x2  4 Si 2.90
4 Si 0.0000 0.5000 0.7730 x2  4 In 2.90, 4 Ca 3.23

Output
V = 28.45 Å³ per atom
ΔE_f (raw) = -0.11 eV/atom
total magnetic moment = 0.00 Bohr magnetons per cell
total energy = -3.15 eV/atom

=====

14.
First-principles (PBE) data for a geometry-optimized Dy3Ho3Tm2 structure, as listed in Alexandria via LeMat-Bulk.

Unit cell a=4.9696 b=4.9700 c=19.8801 alpha=90.00 beta=90.00 gamma=90.00
Closest atoms and distances in Å follow each position.
Space group Immm (No. 71)
Inequivalent atoms, fractional coordinates:
1 Dy 0.0000 0.0000 0.0000 x2  8 Ho 3.51-3.53, 4 Dy 3.52
2 Dy 0.0000 0.5000 0.1257 x4  4 Tm 3.50-3.51, 6 Ho 3.51-3.52, 2 Dy 3.52
3 Ho 0.0000 0.0000 0.5000 x2  8 Dy 3.51-3.52, 4 Ho 3.53
4 Ho 0.0000 0.5000 0.3742 x4  4 Tm 3.50, 6 Dy 3.51-3.53, 2 Ho 3.53
5 Tm 0.0000 0.0000 0.2499 x4  4 Ho 3.50, 4 Dy 3.50-3.51, 4 Tm 3.51

Output
V = 30.69 Å³ per atom
total magnetic moment = 0.00 Bohr magnetons per cell
total energy = -4.54 eV/atom

=====

15.
First-principles (PBE) data for a geometry-optimized ReTcPb2 structure, as listed in Alexandria via LeMat-Bulk.

Unit cell a=3.1534 b=4.4943 c=5.6589 alpha=90.00 beta=92.39 gamma=90.00
Closest atoms and distances in Å follow each position.
Space group P2/m (No. 10)
Inequivalent atoms, fractional coordinates:
1 Re 0.0000 0.0000 0.0000 x1  4 Pb 2.79
2 Tc 0.5000 0.0000 0.5000 x1  4 Pb 2.79
3 Pb 0.2466 0.5000 0.7484 x2  2 Tc 2.79, 2 Re 2.79

Output
V = 20.03 Å³ per atom
total magnetic moment = 0.03 Bohr magnetons per cell
total energy = -6.43 eV/atom

=====

16.
First-principles (PBE) data for a geometry-optimized NdMgZnPd structure, as listed in Alexandria via LeMat-Bulk.

Unit cell a=6.9469 b=6.9469 c=6.9469 alpha=90.00 beta=90.00 gamma=90.00
Closest atoms and distances in Å follow each position.
Space group F-43m (No. 216)
Inequivalent atoms, fractional coordinates:
1 Nd 0.0000 0.0000 0.0000 x4  4 Zn 3.01, 4 Pd 3.01
2 Mg 0.0000 0.0000 0.5000 x4  4 Pd 3.01, 4 Zn 3.01
3 Zn 0.2500 0.2500 0.2500 x4  4 Mg 3.01, 4 Nd 3.01
4 Pd 0.2500 0.2500 0.7500 x4  4 Mg 3.01, 4 Nd 3.01

Output
V = 20.95 Å³ per atom
total magnetic moment = 0.00 Bohr magnetons per cell
total energy = -3.70 eV/atom

=====

17.
First-principles (PBE) data for a geometry-optimized Zr2VGa6 structure, as listed in Alexandria via LeMat-Bulk.

Unit cell a=10.2968 b=5.4825 c=5.6697 alpha=90.00 beta=101.10 gamma=90.00
Closest atoms and distances in Å follow each position.
Space group C2/m (No. 12)
Inequivalent atoms, fractional coordinates:
1 Zr 0.1386 0.0000 0.3476 x4  11 Ga 2.84-3.18
2 V 0.0000 0.5000 0.5000 x2  6 Ga 2.45-2.51
3 Ga 0.1224 0.2364 0.8311 x8  1 V 2.51, 3 Ga 2.59-2.69
4 Ga 0.1573 0.5000 0.2259 x4  1 V 2.45, 4 Ga 2.63-2.69

Output
V = 17.45 Å³ per atom
total magnetic moment = 0.00 Bohr magnetons per cell
total energy = -5.28 eV/atom

=====

18.
First-principles (PBE) data for a geometry-optimized Ba3Na8Li structure, as listed in Alexandria via LeMat-Bulk.

Unit cell a=7.1490 b=7.1490 c=34.8873 alpha=90.00 beta=90.00 gamma=120.00
Closest atoms and distances in Å follow each position.
Space group R3m (No. 160, hexagonal axes)
Inequivalent atoms, fractional coordinates:
1 Ba 0.0000 0.0000 0.0000 x3  12 Na 4.19-4.23, 4 Ba 4.42-4.47
2 Ba 0.0000 0.0000 0.1282 x3  12 Na 4.06-4.21, 3 Li 4.33, 1 Ba 4.47
3 Ba 0.0000 0.0000 0.6215 x3  12 Na 4.15-4.36, 1 Li 4.28, 3 Ba 4.42
4 Na 0.0000 0.0000 0.3123 x3  6 Na 3.60-3.62
5 Na 0.0000 0.0000 0.8137 x3  6 Na 3.49-3.55
6 Na 0.0025 0.5012 0.0646 x9  6 Na 3.55-3.62
7 Na 0.0028 0.5014 0.5613 x9  6 Na 3.49-3.60
8 Li 0.0000 0.0000 0.4987 x3  12 Na 4.07-4.19, 4 Ba 4.28-4.33

Output
V = 42.89 Å³ per atom
total magnetic moment = 0.00 Bohr magnetons per cell
total energy = -1.48 eV/atom

=====

19.
First-principles (PBE) data for a geometry-optimized K2SbPt structure, as listed in Alexandria via LeMat-Bulk.

Unit cell a=12.7712 b=12.7712 c=4.9734 alpha=90.00 beta=90.00 gamma=90.00
Closest atoms and distances in Å follow each position.
Space group I-42d (No. 122)
Inequivalent atoms, fractional coordinates:
1 K 0.0047 0.2500 0.1250 x8  2 Pt 3.25
2 Sb 0.0000 0.0000 0.5000 x4  2 Pt 2.49
3 Pt 0.0000 0.0000 0.0000 x4  2 Sb 2.49

Output
V = 50.70 Å³ per atom
ΔE_f (raw) = -0.31 eV/atom
total magnetic moment = 0.00 Bohr magnetons per cell
total energy = -3.40 eV/atom

=====

20.
First-principles (PBE) data for a geometry-optimized BeC4 structure, as listed in Alexandria via LeMat-Bulk.

Unit cell a=6.1065 b=6.1065 c=2.5009 alpha=90.00 beta=90.00 gamma=90.00
Closest atoms and distances in Å follow each position.
Space group I4/mmm (No. 139)
Inequivalent atoms, fractional coordinates:
1 Be 0.0000 0.0000 0.0000 x2  4 C 1.86
2 C 0.2149 0.2149 0.0000 x8  2 C 1.39

Output
V = 9.33 Å³ per atom
total magnetic moment = 0.00 Bohr magnetons per cell
total energy = -7.23 eV/atom